VASP calculation (PBE-GGA) on a relaxed structure of PaIrRh2O8.

Calculated values
ΔE_f (raw): -1.52 eV per atom
total DFT energy (no corrections): -7.581 eV per atom

Cell: 4.7541 4.7495 6.4232 Å, 90.00 90.00 91.22°
Closest atoms and distances in Å follow each position.
Fractional positions:
O: 0.2995 0.2981 0.0000  1 Ir 1.99, 2 Rh 2.04
O: 0.7991 0.2027 0.7629  1 Rh 2.03, 1 Ir 2.05, 1 Pa 2.17
O: 0.7991 0.2027 0.2371  1 Rh 2.03, 1 Ir 2.05, 1 Pa 2.17
O: 0.2009 0.7973 0.2371  1 Rh 2.03, 1 Ir 2.05, 1 Pa 2.17
O: 0.6799 0.6818 0.5000  2 Rh 2.06, 1 Pa 2.12
O: 0.2009 0.7973 0.7629  1 Rh 2.03, 1 Ir 2.05, 1 Pa 2.17
O: 0.7005 0.7019 0.0000  1 Ir 1.99, 2 Rh 2.04
O: 0.3201 0.3182 0.5000  2 Rh 2.06, 1 Pa 2.12
Rh: 0.5000 0.5000 0.7612  6 O 2.03-2.06
Rh: 0.5000 0.5000 0.2388  6 O 2.03-2.06
Ir: 0.0000 0.0000 0.0000  6 O 1.99-2.05
Pa: 0.0000 0.0000 0.5000  6 O 2.12-2.17



VASP calculation (PBE-GGA) on a relaxed structure of YBeP2Se.

Calculated values
ΔE_f (raw): -0.30 eV per atom
total DFT energy (no corrections): -5.202 eV per atom

Cell: 4.1475 5.5493 4.1475 Å, 90.00 90.00 90.00°
Closest atoms and distances in Å follow each position.
Fractional positions:
Y: 0.5000 0.5000 0.5000  4 Se 2.93
P: 0.0000 0.0000 0.5000  2 Be 2.07
P: 0.5000 0.0000 0.0000  2 Be 2.07
Se: 0.0000 0.5000 0.0000  2 Be 2.77, 4 Y 2.93
Be: 0.0000 0.0000 0.0000  4 P 2.07



VASP calculation (PBE-GGA) on a relaxed structure of GePb2Au2.

Calculated values
formation energy: 0.0398 eV/atom
total DFT energy (no corrections): -3.678 eV per atom
energy above the most stable polymorph in this dataset: 61 meV per atom

Cell: 7.1388 7.1388 4.7746 Å, 90.00 90.00 90.00°
Closest atoms and distances in Å follow each position.
Fractional positions:
Ge: 0.5000 0.5000 0.0000  4 Au 2.75
Ge: 0.0000 0.0000 0.0000  4 Au 2.75
Pb: 0.1722 0.6722 0.5000  6 Au 3.04-3.28
Pb: 0.6722 0.8278 0.5000  6 Au 3.04-3.28
Pb: 0.3278 0.1722 0.5000  6 Au 3.04-3.28
Pb: 0.8278 0.3278 0.5000  6 Au 3.04-3.28
Au: 0.1419 0.3581 0.0000  2 Ge 2.75, 1 Au 2.87, 2 Pb 3.04
Au: 0.6419 0.1419 0.0000  2 Ge 2.75, 1 Au 2.87, 2 Pb 3.04
Au: 0.8581 0.6419 0.0000  2 Ge 2.75, 1 Au 2.87, 2 Pb 3.04
Au: 0.3581 0.8581 0.0000  2 Ge 2.75, 1 Au 2.87, 2 Pb 3.04



VASP calculation (PBE-GGA) on a relaxed structure of Ba4TeP.

Calculated values
ΔE_f (raw): 0.03 eV per atom
total DFT energy (no corrections): -2.677 eV per atom

Cell: 6.9533 6.9533 6.9533 Å, 60.00 60.00 60.00°
Closest atoms and distances in Å follow each position.
Fractional positions:
Ba: 0.6247 0.1260 0.6247  6 Ba 3.47-3.49
Ba: 0.6247 0.6247 0.1260  6 Ba 3.47-3.49
Ba: 0.1260 0.6247 0.6247  6 Ba 3.47-3.49
Ba: 0.6247 0.6247 0.6247  6 Ba 3.47-3.49
P: 0.2500 0.2500 0.2500  12 Ba 4.08, 4 Te 4.26
Te: 0.0000 0.0000 0.0000  12 Ba 4.08, 4 P 4.26